CaMoO3 after structural relaxation. Source: Alexandria via LeMat-Bulk, functional GGA+U.

Structure (extended XYZ):
```
20
Lattice="-2.9447 -1.9616 -4.2486 -4.0530 -1.8107 3.6451 -3.7594 6.9363 -0.5969" Properties=species:S:1:pos:R:3 pbc="T T T"
O -2.3276 -0.8158 -0.1858
O -5.4598 1.2597 1.7993
O -6.5795 -1.1812 0.7937
Mo -3.3520 2.4873 -2.4227
Ca -4.5968 -0.2472 -0.2183
Mo -2.0265 -0.9053 1.8226
O -4.1776 4.3452 -1.9940
O -3.7570 1.9494 -0.4903
O -7.0000 1.2146 -0.7100
Ca -1.1628 1.5958 -0.0100
O -6.7115 4.6796 -3.2821
Ca -9.5943 1.5682 -1.1903
O -5.4406 -0.8672 -2.3096
O -8.4295 3.9798 -1.0145
O -5.3165 4.0312 1.1093
Ca -6.1602 3.4112 -0.9820
Mo -1.4723 -0.9808 -2.1243
O -4.0456 -1.5156 2.0818
O -5.2972 1.9043 -2.9996
Mo -3.9062 2.5628 1.5241
```

Calculated values
- total magnetization (μB per formula unit) = 2.00
- space group = No. 14
- energy (eV per atom) = -7.104